1.
The following is a GGA-PBE calculation of a relaxed KNaGd crystal, from the Open Quantum Materials Database.

volume	567	Å³/cell
electronic total energy	-1.330	eV per atom

Lattice parameters (Å, degrees): 8.2791 8.2791 8.2791 90.00 90.00 90.00
Closest atoms and distances in Å follow each position.
Space group F-43m (No. 216)
Asymmetric unit:
K (0.0000, 0.0000, 0.0000) [4 per cell]  4 Gd 3.58, 4 Na 3.58
Na (0.2500, 0.2500, 0.2500) [4 per cell]  4 K 3.58
Gd (0.2500, 0.2500, 0.7500) [4 per cell]  4 K 3.58


2.
The following is a GGA-PBE calculation of a relaxed NpScFe crystal, from the Open Quantum Materials Database.

ΔE to the lowest computed polymorph	0	meV per atom
volume	228	Å³/cell
ΔH_f (0 K)	32.8	kJ/mol of atoms

Lattice parameters (Å, degrees): 6.1080 6.1080 6.1080 90.00 90.00 90.00
Closest atoms and distances in Å follow each position.
Space group F-43m (No. 216)
Asymmetric unit:
Np (0.0000, 0.0000, 0.0000) [4 per cell]  4 Fe 2.64
Sc (0.0000, 0.0000, 0.5000) [4 per cell]  4 Fe 2.64
Fe (0.2500, 0.2500, 0.7500) [4 per cell]  4 Np 2.64, 4 Sc 2.64


3.
The following is a GGA-PBE calculation of a relaxed Zr2ScTe2 crystal, from the Open Quantum Materials Database.

ΔE to the lowest computed polymorph	0	meV per atom
volume	254	Å³/cell

Lattice parameters (Å, degrees): 4.2810 4.2810 13.8861 90.00 90.00 90.00
Closest atoms and distances in Å follow each position.
Space group I4/mmm (No. 139)
Asymmetric unit:
Zr (0.0000, 0.5000, 0.2500) [4 per cell]  4 Te 2.89, 4 Zr 3.03
Sc (0.0000, 0.0000, 0.0000) [2 per cell]  8 Te 3.39
Te (0.0000, 0.0000, 0.3898) [4 per cell]  4 Zr 2.89, 1 Te 3.06


4.
The following is a GGA-PBE calculation of a relaxed Li16PrLu15F64 crystal, from the Open Quantum Materials Database.

volume	1041	Å³/cell
electronic total energy	-6.086	eV per atom

Lattice parameters (Å, degrees): 10.0295 10.0295 10.3537 90.00 90.00 90.00
Closest atoms and distances in Å follow each position.
Space group P-4 (No. 81)
Asymmetric unit:
Li (0.0000, 0.0000, 0.0000) [1 per cell]  4 F 1.84
Li (0.0002, 0.2480, 0.7506) [4 per cell]  4 F 1.83-1.84
Li (0.0000, 0.5000, 0.0040) [2 per cell]  4 F 1.83-1.84
Li (0.2463, 0.2478, 0.5027) [4 per cell]  4 F 1.83-1.84
Li (0.2477, 0.4981, 0.2446) [4 per cell]  4 F 1.84-1.85
Li (0.5000, 0.5000, 0.0000) [1 per cell]  4 F 1.85
Pr (0.5000, 0.5000, 0.5000) [1 per cell]  8 F 2.32-2.35
Lu (0.0000, 0.0000, 0.5000) [1 per cell]  8 F 2.16-2.23
Lu (0.0003, 0.2500, 0.2502) [4 per cell]  8 F 2.17-2.22
Lu (0.0000, 0.5000, 0.4992) [2 per cell]  8 F 2.16-2.22
Lu (0.2445, 0.5008, 0.7537) [4 per cell]  8 F 2.16-2.23
Lu (0.2490, 0.2485, 0.9997) [4 per cell]  8 F 2.16-2.22
F (0.0780, 0.6092, 0.6697) [4 per cell]  1 Li 1.84
F (0.0825, 0.8604, 0.0823) [4 per cell]  1 Li 1.84
F (0.0846, 0.1104, 0.6674) [4 per cell]  1 Li 1.83
F (0.0854, 0.3604, 0.0832) [4 per cell]  1 Li 1.83
F (0.1093, 0.1656, 0.4177) [4 per cell]  1 Li 1.83
F (0.1093, 0.6662, 0.4183) [4 per cell]  1 Li 1.83
F (0.1099, 0.4164, 0.3315) [4 per cell]  1 Li 1.84
F (0.1368, 0.5852, 0.9194) [4 per cell]  1 Li 1.84
F (0.1385, 0.3323, 0.8330) [4 per cell]  1 Li 1.84
F (0.1403, 0.8336, 0.8317) [4 per cell]  1 Li 1.83
F (0.1646, 0.6402, 0.1670) [4 per cell]  1 Li 1.84
F (0.1684, 0.3931, 0.5806) [4 per cell]  1 Li 1.84
F (0.3242, 0.6181, 0.5910) [4 per cell]  1 Li 1.84
F (0.3355, 0.3593, 0.1654) [4 per cell]  1 Li 1.84
F (0.3565, 0.4174, 0.9215) [4 per cell]  1 Li 1.85
F (0.3853, 0.5905, 0.3221) [4 per cell]  1 Li 1.85


5.
The following is a GGA-PBE calculation of a relaxed CsBiPt crystal, from the Open Quantum Materials Database.

ΔE to the lowest computed polymorph	278	meV per atom
volume	430	Å³/cell

Lattice parameters (Å, degrees): 7.5502 7.5502 7.5502 90.00 90.00 90.00
Closest atoms and distances in Å follow each position.
Space group F-43m (No. 216)
Asymmetric unit:
Cs (0.0000, 0.0000, 0.0000) [4 per cell]  4 Bi 3.27
Bi (0.2500, 0.2500, 0.2500) [4 per cell]  4 Pt 3.27, 4 Cs 3.27
Pt (0.0000, 0.0000, 0.5000) [4 per cell]  4 Bi 3.27


6.
The following is a GGA-PBE calculation of a relaxed KNdF4 crystal, from the Open Quantum Materials Database.

volume	342	Å³/cell
electronic total energy	-5.899	eV per atom

Lattice parameters (Å, degrees): 6.1348 3.6905 15.0883 90.00 90.00 90.00
Closest atoms and distances in Å follow each position.
Space group Pnma (No. 62)
Asymmetric unit:
K (0.2247, 0.2500, 0.2018) [4 per cell]  7 F 2.51-2.66
Nd (0.2484, 0.7500, 0.4382) [4 per cell]  9 F 2.29-2.49
F (0.0064, 0.2500, 0.0605) [4 per cell]  3 Nd 2.38-2.43, 1 K 2.52, 2 F 2.60
F (0.0864, 0.2500, 0.8021) [4 per cell]  1 Nd 2.29
F (0.1011, 0.2500, 0.3637) [4 per cell]  2 Nd 2.34, 2 K 2.51-2.56
F (0.1404, 0.2500, 0.5404) [4 per cell]  3 Nd 2.41-2.49, 1 F 2.68